Material: PrDy5Cu4
Method: DFT, PBE
State: relaxed

Cell: 3.472 3.472 19.347 Å, 90.00 90.00 90.00°
Fractional positions:
Pr (0.000, 0.000, 0.000)
Dy (0.500, 0.500, 0.142)
Dy (0.500, 0.500, 0.319)
Dy (0.500, 0.500, 0.500)
Dy (0.500, 0.500, 0.681)
Dy (0.500, 0.500, 0.858)
Cu (0.000, 0.000, 0.229)
Cu (0.000, 0.000, 0.409)
Cu (0.000, 0.000, 0.591)
Cu (0.000, 0.000, 0.771)

Properties
Magnetization ... 0.00 μB/f.u.
Energy of formation ... -0.196 eV/atom



Material: NaSrLi2Ca
Method: DFT, PBE
State: relaxed

Cell: 5.587 5.587 6.100 Å, 90.00 90.00 90.00°
Fractional positions:
Na (0.000, 0.000, 0.000)
Sr (0.500, 0.500, 0.500)
Li (0.000, 0.500, 0.000)
Li (0.500, 0.000, 0.000)
Ca (0.000, 0.000, 0.500)

Properties
Magnetization ... 0.00 μB/f.u.
Energy of formation ... 0.279 eV/atom



Material: CaCe2B9
Method: DFT, PBE
State: relaxed

Cell: 8.449 8.449 8.449 Å, 31.93 31.93 31.93°
Fractional positions:
Ca (0.000, 0.000, 0.000)
Ce (0.132, 0.132, 0.132)
Ce (0.868, 0.868, 0.868)
B (0.018, 0.374, 0.374)
B (0.374, 0.018, 0.374)
B (0.374, 0.374, 0.018)
B (0.424, 0.424, 0.424)
B (0.500, 0.500, 0.500)
B (0.576, 0.576, 0.576)
B (0.626, 0.626, 0.982)
B (0.626, 0.982, 0.626)
B (0.982, 0.626, 0.626)

Properties
Magnetization ... 0.00 μB/f.u.
Energy of formation ... -0.094 eV/atom



Material: Ta2Br8F
Method: DFT, PBE
State: relaxed

Cell: 7.789 7.789 7.164 Å, 96.03 96.03 107.05°
Fractional positions:
Ta (0.089, 0.089, 0.292)
Ta (0.911, 0.911, 0.708)
Br (0.138, 0.746, 0.728)
Br (0.197, 0.197, 0.646)
Br (0.254, 0.862, 0.272)
Br (0.335, 0.335, 0.206)
Br (0.665, 0.665, 0.794)
Br (0.746, 0.138, 0.728)
Br (0.803, 0.803, 0.354)
Br (0.862, 0.254, 0.272)
F (0.000, 0.000, 0.000)

Properties
Uncorrected formation energy ... -1.109 eV/atom
Magnetization ... 1.01 μB/f.u.



Material: Cu4AgBr7
Method: DFT, PBE
State: relaxed

Cell: 9.893 9.893 7.842 Å, 90.00 90.00 61.54°
Fractional positions:
Cu (0.048, 0.723, 0.750)
Cu (0.277, 0.952, 0.750)
Cu (0.307, 0.307, 0.000)
Cu (0.307, 0.307, 0.500)
Cu (0.693, 0.693, 0.000)
Cu (0.693, 0.693, 0.500)
Cu (0.723, 0.048, 0.250)
Cu (0.952, 0.277, 0.250)
Ag (0.258, 0.742, 0.250)
Ag (0.742, 0.258, 0.750)
Br (0.021, 0.979, 0.750)
Br (0.184, 0.584, 0.003)
Br (0.184, 0.584, 0.497)
Br (0.221, 0.222, 0.750)
Br (0.222, 0.221, 0.250)
Br (0.416, 0.816, 0.003)
Br (0.416, 0.816, 0.497)
Br (0.584, 0.184, 0.503)
Br (0.584, 0.184, 0.997)
Br (0.778, 0.779, 0.750)
Br (0.779, 0.778, 0.250)
Br (0.816, 0.416, 0.503)
Br (0.816, 0.416, 0.997)
Br (0.979, 0.021, 0.250)

Properties
Uncorrected formation energy ... -0.307 eV/atom
Magnetization ... 0.00 μB/f.u.



Material: TaAl2CoSi
Method: DFT, PBE
State: relaxed

Cell: 4.308 4.308 4.714 Å, 90.00 90.00 90.00°
Fractional positions:
Ta (0.000, 0.000, 0.000)
Al (0.000, 0.500, 0.500)
Al (0.500, 0.000, 0.500)
Co (0.000, 0.000, 0.500)
Si (0.500, 0.500, 0.000)

Properties
Uncorrected formation energy ... 0.314 eV/atom
Magnetization ... 0.00 μB/f.u.



Material: La2As2Pb
Method: DFT, PBE
State: relaxed

Cell: 5.919 5.919 8.711 Å, 90.00 90.00 90.00°
Fractional positions:
La (0.000, 0.500, 0.250)
La (0.000, 0.500, 0.750)
La (0.500, 0.000, 0.250)
La (0.500, 0.000, 0.750)
As (0.000, 0.000, 0.160)
As (0.000, 0.000, 0.840)
As (0.500, 0.500, 0.340)
As (0.500, 0.500, 0.660)
Pb (0.000, 0.000, 0.500)
Pb (0.500, 0.500, 0.000)

Properties
Energy relative to the lowest polymorph listed for this composition ... 292 meV per atom
Magnetization ... 0.00 μB/f.u.
Energy of formation ... -0.785 eV/atom



Material: CePrGe4
Method: DFT, PBE
State: relaxed

Cell: 5.684 5.684 5.684 Å, 60.00 60.00 60.00°
Fractional positions:
Ce (0.000, 0.000, 0.000)
Pr (0.250, 0.250, 0.250)
Ge (0.125, 0.625, 0.625)
Ge (0.625, 0.125, 0.625)
Ge (0.625, 0.625, 0.125)
Ge (0.625, 0.625, 0.625)

Properties
Magnetization ... 0.42 μB/f.u.
Energy of formation ... -0.380 eV/atom



Material: LiHg2Pb2
Method: DFT, PBE
State: relaxed

Cell: 3.381 3.381 22.023 Å, 90.00 90.00 90.00°
Fractional positions:
Li (0.000, 0.000, 0.000)
Li (0.500, 0.500, 0.500)
Hg (0.000, 0.000, 0.424)
Hg (0.000, 0.000, 0.576)
Hg (0.500, 0.500, 0.076)
Hg (0.500, 0.500, 0.924)
Pb (0.000, 0.000, 0.189)
Pb (0.000, 0.000, 0.811)
Pb (0.500, 0.500, 0.311)
Pb (0.500, 0.500, 0.689)

Properties
Energy relative to the lowest polymorph listed for this composition ... 0 meV per atom
Magnetization ... 0.00 μB/f.u.
Energy of formation ... -0.150 eV/atom



Material: Ca2Pb
Method: DFT, PBE
State: relaxed

Cell: 4.370 16.520 5.447 Å, 90.00 90.00 90.00°
Fractional positions:
Ca (0.000, 0.066, 0.250)
Ca (0.000, 0.248, 0.750)
Ca (0.000, 0.752, 0.250)
Ca (0.000, 0.934, 0.750)
Ca (0.500, 0.252, 0.250)
Ca (0.500, 0.434, 0.750)
Ca (0.500, 0.566, 0.250)
Ca (0.500, 0.748, 0.750)
Pb (0.000, 0.395, 0.250)
Pb (0.000, 0.605, 0.750)
Pb (0.500, 0.105, 0.750)
Pb (0.500, 0.895, 0.250)

Properties
Magnetization ... 0.12 μB/f.u.
Energy of formation ... -0.397 eV/atom



Material: CaMg2Cl
Method: DFT, PBE
State: relaxed

Cell: 3.543 6.199 10.260 Å, 90.00 90.00 90.00°
Fractional positions:
Ca (0.000, 0.000, 0.000)
Ca (0.500, 0.500, 0.500)
Mg (0.000, 0.000, 0.434)
Mg (0.000, 0.500, 0.207)
Mg (0.500, 0.000, 0.707)
Mg (0.500, 0.500, 0.934)
Cl (0.000, 0.500, 0.704)
Cl (0.500, 0.000, 0.204)

Properties
Energy relative to the lowest polymorph listed for this composition ... 171 meV per atom
Uncorrected formation energy ... -0.511 eV/atom
Magnetization ... 0.00 μB/f.u.



Material: PmPaPbO6
Method: DFT, PBE
State: relaxed

Cell: 5.735 5.735 4.872 Å, 90.00 90.00 120.00°
Fractional positions:
Pm (0.000, 0.000, 0.000)
Pa (0.667, 0.333, 0.500)
Pb (0.333, 0.667, 0.000)
O (0.356, 0.006, 0.248)
O (0.356, 0.350, 0.752)
O (0.650, 0.006, 0.752)
O (0.650, 0.644, 0.248)
O (0.994, 0.350, 0.248)
O (0.994, 0.644, 0.752)

Properties
Uncorrected formation energy ... -2.544 eV/atom
Magnetization ... 0.00 μB/f.u.



Material: KV2PdAu
Method: DFT, PBE
State: relaxed

Cell: 4.584 4.584 4.809 Å, 90.00 90.00 90.00°
Fractional positions:
K (0.000, 0.000, 0.000)
V (0.000, 0.500, 0.000)
V (0.500, 0.000, 0.000)
Pd (0.000, 0.000, 0.500)
Au (0.500, 0.500, 0.500)

Properties
Magnetization ... 5.30 μB/f.u.
Energy of formation ... 2.106 eV/atom



Material: SrCeCdSn
Method: DFT, PBE
State: relaxed

Cell: 7.889 7.889 7.889 Å, 90.00 90.00 90.00°
Fractional positions:
Sr (0.000, 0.000, 0.000)
Sr (0.000, 0.500, 0.500)
Sr (0.500, 0.000, 0.500)
Sr (0.500, 0.500, 0.000)
Ce (0.000, 0.000, 0.500)
Ce (0.000, 0.500, 0.000)
Ce (0.500, 0.000, 0.000)
Ce (0.500, 0.500, 0.500)
Cd (0.250, 0.250, 0.250)
Cd (0.250, 0.750, 0.750)
Cd (0.750, 0.250, 0.750)
Cd (0.750, 0.750, 0.250)
Sn (0.250, 0.250, 0.750)
Sn (0.250, 0.750, 0.250)
Sn (0.750, 0.250, 0.250)
Sn (0.750, 0.750, 0.750)

Properties
Magnetization ... 1.39 μB/f.u.
Energy of formation ... -0.394 eV/atom



Material: TiBiPdAu
Method: DFT, PBE
State: relaxed

Cell: 6.722 6.722 6.722 Å, 90.00 90.00 90.00°
Fractional positions:
Ti (0.000, 0.000, 0.000)
Ti (0.000, 0.500, 0.500)
Ti (0.500, 0.000, 0.500)
Ti (0.500, 0.500, 0.000)
Bi (0.250, 0.250, 0.750)
Bi (0.250, 0.750, 0.250)
Bi (0.750, 0.250, 0.250)
Bi (0.750, 0.750, 0.750)
Pd (0.000, 0.000, 0.500)
Pd (0.000, 0.500, 0.000)
Pd (0.500, 0.000, 0.000)
Pd (0.500, 0.500, 0.500)
Au (0.250, 0.250, 0.250)
Au (0.250, 0.750, 0.750)
Au (0.750, 0.250, 0.750)
Au (0.750, 0.750, 0.250)

Properties
Magnetization ... 0.40 μB/f.u.
Energy of formation ... -0.185 eV/atom



Material: AlHgH2I
Method: DFT, PBE
State: relaxed

Cell: 4.129 4.129 7.030 Å, 90.00 90.00 90.00°
Fractional positions:
Al (0.000, 0.000, 0.000)
Hg (0.500, 0.500, 0.500)
H (0.000, 0.500, 0.500)
H (0.500, 0.000, 0.500)
I (0.500, 0.500, 0.000)

Properties
Magnetization ... 0.00 μB/f.u.
VASP energy ... -0.14798 Ry per atom



Material: CoRe2Si
Method: DFT, PBE
State: relaxed

Cell: 8.648 2.739 4.611 Å, 90.00 100.80 90.00°
Fractional positions:
Co (0.000, 0.000, 0.000)
Co (0.500, 0.500, 0.000)
Re (0.248, 0.500, 0.246)
Re (0.252, 0.000, 0.754)
Re (0.748, 0.000, 0.246)
Re (0.752, 0.500, 0.754)
Si (0.000, 0.500, 0.500)
Si (0.500, 0.000, 0.500)

Properties
Uncorrected formation energy ... 0.052 eV/atom
Magnetization ... 0.01 μB/f.u.



Material: K6CdPt
Method: DFT, PBE
State: relaxed

Cell: 4.528 13.354 14.389 Å, 90.00 90.00 90.00°
Fractional positions:
K (0.000, 0.000, 0.000)
K (0.000, 0.142, 0.703)
K (0.000, 0.358, 0.203)
K (0.000, 0.500, 0.500)
K (0.000, 0.642, 0.203)
K (0.000, 0.858, 0.703)
K (0.500, 0.000, 0.272)
K (0.500, 0.213, 0.471)
K (0.500, 0.287, 0.971)
K (0.500, 0.500, 0.772)
K (0.500, 0.713, 0.971)
K (0.500, 0.787, 0.471)
Cd (0.000, 0.000, 0.480)
Cd (0.000, 0.500, 0.980)
Pt (0.500, 0.000, 0.584)
Pt (0.500, 0.500, 0.084)

Properties
Magnetization ... 0.00 μB/f.u.
Energy of formation ... -0.047 eV/atom



Material: RbNpAg2Se4
Method: DFT, PBE
State: relaxed

Cell: 6.879 7.817 8.773 Å, 90.00 90.00 90.00°
Fractional positions:
Rb (0.000, 0.000, 0.000)
Rb (0.500, 0.500, 0.500)
Np (0.000, 0.000, 0.500)
Np (0.500, 0.500, 0.000)
Ag (0.000, 0.500, 0.169)
Ag (0.000, 0.500, 0.831)
Ag (0.500, 0.000, 0.331)
Ag (0.500, 0.000, 0.669)
Se (0.210, 0.210, 0.319)
Se (0.210, 0.790, 0.681)
Se (0.290, 0.290, 0.819)
Se (0.290, 0.710, 0.181)
Se (0.710, 0.290, 0.181)
Se (0.710, 0.710, 0.819)
Se (0.790, 0.210, 0.681)
Se (0.790, 0.790, 0.319)

Properties
Uncorrected formation energy ... -0.510 eV/atom
Magnetization ... 2.38 μB/f.u.



Material: Tb2PmTmS4
Method: DFT, PBE
State: relaxed

Cell: 6.801 3.893 6.879 Å, 90.00 108.95 90.00°
Fractional positions:
Tb (0.000, 0.000, 0.000)
Tb (0.000, 0.500, 0.500)
Pm (0.500, 0.000, 0.500)
Tm (0.500, 0.500, 0.000)
S (0.246, 0.500, 0.240)
S (0.253, 0.000, 0.759)
S (0.747, 0.000, 0.241)
S (0.754, 0.500, 0.760)

Properties
Uncorrected formation energy ... -1.988 eV/atom
Magnetization ... 0.00 μB/f.u.



Material: SrPmMg17
Method: DFT, PBE
State: relaxed

Cell: 7.882 7.882 7.882 Å, 82.48 82.48 82.48°
Fractional positions:
Sr (0.000, 0.000, 0.000)
Pm (0.333, 0.333, 0.333)
Mg (0.018, 0.018, 0.498)
Mg (0.018, 0.498, 0.018)
Mg (0.163, 0.664, 0.664)
Mg (0.316, 0.316, 0.814)
Mg (0.316, 0.814, 0.316)
Mg (0.365, 0.661, 0.965)
Mg (0.365, 0.965, 0.661)
Mg (0.498, 0.018, 0.018)
Mg (0.563, 0.563, 0.563)
Mg (0.661, 0.365, 0.965)
Mg (0.661, 0.965, 0.365)
Mg (0.664, 0.163, 0.664)
Mg (0.664, 0.664, 0.163)
Mg (0.761, 0.761, 0.761)
Mg (0.814, 0.316, 0.316)
Mg (0.965, 0.365, 0.661)
Mg (0.965, 0.661, 0.365)

Properties
Magnetization ... 0.00 μB/f.u.
Energy of formation ... -0.050 eV/atom



Material: CrHg3Ir
Method: DFT, PBE
State: relaxed

Cell: 5.222 5.222 5.222 Å, 90.00 90.00 90.00°
Fractional positions:
Cr (0.000, 0.000, 0.000)
Hg (0.000, 0.500, 0.500)
Hg (0.500, 0.000, 0.500)
Hg (0.500, 0.500, 0.000)
Ir (0.500, 0.500, 0.500)

Properties
Energy relative to the lowest polymorph listed for this composition ... 0 meV per atom
Magnetization ... 5.27 μB/f.u.
Energy of formation ... 0.800 eV/atom



Material: TaVIn2Br
Method: DFT, PBE
State: relaxed

Cell: 5.308 5.308 4.393 Å, 90.00 90.00 90.00°
Fractional positions:
Ta (0.000, 0.000, 0.000)
V (0.500, 0.500, 0.000)
In (0.000, 0.500, 0.500)
In (0.500, 0.000, 0.500)
Br (0.500, 0.500, 0.500)

Properties
Uncorrected formation energy ... 1.476 eV/atom
Magnetization ... 1.00 μB/f.u.



Material: DyTh2Zn3
Method: DFT, PBE
State: relaxed

Cell: 5.138 5.138 6.319 Å, 90.00 90.00 120.00°
Fractional positions:
Dy (0.000, 0.000, 0.000)
Th (0.333, 0.667, 0.669)
Th (0.667, 0.333, 0.331)
Zn (0.000, 0.000, 0.500)
Zn (0.333, 0.667, 0.163)
Zn (0.667, 0.333, 0.837)

Properties
Magnetization ... 0.00 μB/f.u.
Energy of formation ... -0.221 eV/atom



Material: SiRuO2F
Method: DFT, PBE
State: relaxed

Cell: 3.913 3.913 4.205 Å, 90.00 90.00 90.00°
Fractional positions:
Si (0.000, 0.000, 0.000)
Ru (0.500, 0.500, 0.500)
O (0.000, 0.500, 0.500)
O (0.500, 0.000, 0.500)
F (0.500, 0.500, 0.000)

Properties
Uncorrected formation energy ... -0.401 eV/atom
Magnetization ... 1.70 μB/f.u.